No. 1
{"formula": "ScCu2O4", "functional": "PBE", "state": "optimized geometry", "cell": [[-2.7467, 2.7467, 4.7207], [2.7467, -2.7467, 4.7207], [2.7467, 2.7467, -4.7207]], "species": ["Sc", "Sc", "Cu", "Cu", "Cu", "Cu", "O", "O", "O", "O", "O", "O", "O", "O"], "frac_coords": [[0.3750, 0.1250, 0.2500], [0.6250, 0.8750, 0.7500], [0.0000, 0.0000, 0.5000], [0.0000, 0.5000, 0.0000], [0.0000, 0.5000, 0.5000], [0.5000, 0.5000, 0.0000], [0.0227, 0.1224, 0.2880], [0.2348, 0.5227, 0.4004], [0.3344, 0.7348, 0.2120], [0.3776, 0.1656, 0.9004], [0.6224, 0.8344, 0.0996], [0.6656, 0.2652, 0.7880], [0.7652, 0.4773, 0.5996], [0.9773, 0.8776, 0.7120]], "energy_ev_per_atom": -6.4859, "n_ef_per_ev_cell": 6.6, "mass_density_g_cm3": 5.503, "m_tot_mub_per_cell": 1.656, "formation_energy_uncorrected_mev_per_atom": -1578, "polymorph_energy_mev_per_atom": 0, "space_group": "No. 88"}

No. 2
{"formula": "LaFeIr2", "functional": "PBE", "state": "optimized geometry", "cell": [[-2.1769, 2.1769, 3.8207], [2.1769, -2.1769, 3.8207], [2.1769, 2.1769, -3.8207]], "species": ["La", "Fe", "Ir", "Ir"], "frac_coords": [[0.0000, 0.0000, 0.0000], [0.5000, 0.5000, 0.0000], [0.2500, 0.7500, 0.5000], [0.7500, 0.2500, 0.5000]], "energy_ev_per_atom": -7.7078, "n_ef_per_ev_cell": 4.4, "mass_density_g_cm3": 13.280, "m_tot_mub_per_cell": 3.862, "space_group": "No. 139"}

No. 3
{"formula": "PuGaAu3", "functional": "PBE", "state": "optimized geometry", "cell": [[6.5469, 0.0000, 0.0000], [0.0000, 4.4151, 0.0000], [-2.2035, 0.0000, 7.0940]], "species": ["Pu", "Pu", "Ga", "Ga", "Au", "Au", "Au", "Au", "Au", "Au"], "frac_coords": [[0.1746, 0.2500, 0.2052], [0.8254, 0.7500, 0.7948], [0.1736, 0.2500, 0.7801], [0.8264, 0.7500, 0.2199], [0.1613, 0.7500, 0.5320], [0.3386, 0.7500, 0.9713], [0.4861, 0.2500, 0.6263], [0.5139, 0.7500, 0.3737], [0.6614, 0.2500, 0.0287], [0.8387, 0.2500, 0.4680]], "energy_ev_per_atom": -5.8118, "n_ef_per_ev_cell": 26.0, "mass_density_g_cm3": 14.651, "m_tot_mub_per_cell": 10.959, "polymorph_energy_mev_per_atom": 0, "space_group": "No. 11"}

No. 4
{"formula": "V4Rh7W", "functional": "PBE", "state": "optimized geometry", "cell": [[5.6030, -2.2889, 0.0000], [5.6030, 2.2889, 0.0000], [-5.0662, 0.0000, 7.2110]], "species": ["V", "V", "V", "V", "Rh", "Rh", "Rh", "Rh", "Rh", "Rh", "Rh", "W"], "frac_coords": [[0.0729, 0.0729, 0.2778], [0.2136, 0.2136, 0.8391], [0.7864, 0.7864, 0.1609], [0.9271, 0.9271, 0.7222], [0.0000, 0.0000, 0.5000], [0.1543, 0.1543, 0.0916], [0.2811, 0.2811, 0.6178], [0.4257, 0.4257, 0.1518], [0.5743, 0.5743, 0.8482], [0.7189, 0.7189, 0.3822], [0.8457, 0.8457, 0.9084], [0.5000, 0.5000, 0.5000]], "energy_ev_per_atom": -8.2705, "n_ef_per_ev_cell": 12.4, "mass_density_g_cm3": 9.947, "m_tot_mub_per_cell": 0.000, "space_group": "No. 12"}

No. 5
{"formula": "Ho2Tl3Pb3", "functional": "PBE", "state": "optimized geometry", "cell": [[4.6915, 0.0000, 0.0000], [0.0000, 4.9885, 0.0000], [0.0000, 0.0000, 9.5861]], "species": ["Ho", "Ho", "Tl", "Tl", "Tl", "Pb", "Pb", "Pb"], "frac_coords": [[0.0000, 0.0000, 0.2481], [0.0000, 0.0000, 0.7519], [0.0000, 0.5000, 0.0000], [0.5000, 0.5000, 0.2467], [0.5000, 0.5000, 0.7533], [0.0000, 0.5000, 0.5000], [0.5000, 0.0000, 0.0000], [0.5000, 0.0000, 0.5000]], "energy_ev_per_atom": -3.6552, "n_ef_per_ev_cell": 4.1, "mass_density_g_cm3": 11.581, "m_tot_mub_per_cell": 0.000, "space_group": "No. 47"}

No. 6
{"formula": "PrHo3", "functional": "PBE", "state": "optimized geometry", "cell": [[5.0501, 0.0000, 0.0000], [0.0000, 5.0501, 0.0000], [0.0000, 0.0000, 5.0501]], "species": ["Pr", "Ho", "Ho", "Ho"], "frac_coords": [[0.0000, 0.0000, 0.0000], [0.0000, 0.5000, 0.5000], [0.5000, 0.0000, 0.5000], [0.5000, 0.5000, 0.0000]], "energy_ev_per_atom": -4.6039, "n_ef_per_ev_cell": 5.8, "mass_density_g_cm3": 8.196, "m_tot_mub_per_cell": 0.000, "polymorph_energy_mev_per_atom": 9, "space_group": "No. 221"}

No. 7
{"formula": "Na2Sr3Tl4", "functional": "PBE", "state": "optimized geometry", "cell": [[4.9721, -2.8736, 0.0000], [4.9721, 2.8736, 0.0000], [-0.0636, 0.0000, 10.4807]], "species": ["Na", "Na", "Sr", "Sr", "Sr", "Tl", "Tl", "Tl", "Tl"], "frac_coords": [[0.1685, 0.1685, 0.4230], [0.8315, 0.8315, 0.5770], [0.1652, 0.1652, 0.7780], [0.5000, 0.5000, 0.0000], [0.8348, 0.8348, 0.2220], [0.1674, 0.1674, 0.1118], [0.4980, 0.4980, 0.6515], [0.5020, 0.5020, 0.3485], [0.8326, 0.8326, 0.8882]], "energy_ev_per_atom": -2.1951, "n_ef_per_ev_cell": 4.4, "mass_density_g_cm3": 6.245, "m_tot_mub_per_cell": 0.000, "polymorph_energy_mev_per_atom": 0, "space_group": "No. 12"}

No. 8
{"formula": "YScH4", "functional": "PBE", "state": "optimized geometry", "cell": [[-2.4836, 2.4836, 5.0041], [2.4836, -2.4836, 5.0041], [2.4836, 2.4836, -5.0041]], "species": ["Y", "Y", "Sc", "Sc", "H", "H", "H", "H", "H", "H", "H", "H"], "frac_coords": [[0.3750, 0.6250, 0.7500], [0.6250, 0.3750, 0.2500], [0.1250, 0.8750, 0.2500], [0.8750, 0.1250, 0.7500], [0.0000, 0.2313, 0.2313], [0.0000, 0.7687, 0.7687], [0.2313, 0.0000, 0.7313], [0.2313, 0.5000, 0.2313], [0.5000, 0.2313, 0.7313], [0.5000, 0.7687, 0.2687], [0.7687, 0.0000, 0.2687], [0.7687, 0.5000, 0.7687]], "energy_ev_per_atom": -5.0499, "n_ef_per_ev_cell": 3.5, "mass_density_g_cm3": 3.709, "m_tot_mub_per_cell": 0.000, "space_group": "No. 141"}